ScIn3Rh after structural relaxation. Source: the Alexandria database, functional PBE-GGA.

Cell and atoms, written as extended XYZ:
```
5
Lattice="5.396 0.000 0.000 0.000 5.396 0.000 0.000 0.000 5.396" Properties=species:S:1:pos:R:3 pbc="T T T"
Sc 0.000 0.000 0.000
In 0.000 0.000 2.698
In 0.000 2.698 0.000
In 2.698 0.000 0.000
Rh 2.698 2.698 2.698
```

## Properties
The density of states at the Fermi level is 8.76 states/eV/f.u. As for the energy of formation: 1080.2 meV per atom. The calculation puts the distance to the lowest polymorph of the same formula at 5.34 eV per formula unit. Its space group is Pm-3m (221).